First-principles (GGA-PBEsol) data for a relaxed BeReS3 crystal, as listed in Alexandria.

E = -5.2740 eV/atom
ρ = 7.0 g cm⁻³

Geometry as CIF:
```
data_BeReS3
_chemical_formula_sum 'Be1 Re1 S3'
_cell_length_a 4.1135
_cell_length_b 4.1135
_cell_length_c 4.1135
_cell_angle_alpha 90.00
_cell_angle_beta 90.00
_cell_angle_gamma 90.00
_symmetry_space_group_name_H-M 'P m -3 m'
_symmetry_Int_Tables_number 221
_symmetry_space_group_name_Hall '-P 4 2 3'
loop_
_atom_site_label
_atom_site_fract_x
_atom_site_fract_y
_atom_site_fract_z
Be1 0.0000 0.0000 0.0000
Re1 0.5000 0.5000 0.5000
S1 0.0000 0.0000 0.5000
```

First-principles (GGA-PBEsol) data for a relaxed Al2ZnIr crystal, as listed in Alexandria.

E = -5.1415 eV/atom
ΔH_f (0 K) = -0.244 eV per atom
ρ = 8.6 g cm⁻³

Geometry as CIF:
```
data_Al2ZnIr
_chemical_formula_sum 'Al2 Zn1 Ir1'
_cell_length_a 2.8651
_cell_length_b 2.8651
_cell_length_c 7.2877
_cell_angle_alpha 90.00
_cell_angle_beta 90.00
_cell_angle_gamma 90.00
_symmetry_space_group_name_H-M 'P 4 m m'
_symmetry_Int_Tables_number 99
_symmetry_space_group_name_Hall 'P 4 -2'
loop_
_atom_site_label
_atom_site_fract_x
_atom_site_fract_y
_atom_site_fract_z
Al1 0.0000 0.0000 0.0000
Al2 0.5000 0.5000 0.2888
Zn1 0.5000 0.5000 0.7307
Ir1 0.0000 0.0000 0.4958
```

First-principles (GGA-PBEsol) data for a relaxed AlAg5 crystal, as listed in Alexandria.

excess energy over the best structure of this formula in the dataset = 0.24 eV/f.u.
E = -3.4720 eV/atom
ΔH_f (0 K) = -0.031 eV per atom
ρ = 9.6 g cm⁻³

Geometry as CIF:
```
data_AlAg5
_chemical_formula_sum 'Al1 Ag5'
_cell_length_a 2.8860
_cell_length_b 2.8860
_cell_length_c 13.6319
_cell_angle_alpha 90.00
_cell_angle_beta 90.00
_cell_angle_gamma 120.00
_symmetry_space_group_name_H-M 'P -3 m 1'
_symmetry_Int_Tables_number 164
_symmetry_space_group_name_Hall '-P 3 2"'
loop_
_atom_site_label
_atom_site_fract_x
_atom_site_fract_y
_atom_site_fract_z
Al1 0.0000 0.0000 0.0000
Ag1 0.0000 0.0000 0.5000
Ag2 0.3333 0.6667 0.1585
Ag3 0.3333 0.6667 0.6701
```

First-principles (GGA-PBEsol) data for a relaxed Hf6CoSb2 crystal, as listed in Alexandria.

E = -9.4096 eV/atom
ρ = 12.8 g cm⁻³

Geometry as CIF:
```
data_Hf6CoSb2
_chemical_formula_sum 'Hf6 Co1 Sb2'
_cell_length_a 7.6546
_cell_length_b 7.6546
_cell_length_c 3.5212
_cell_angle_alpha 90.00
_cell_angle_beta 90.00
_cell_angle_gamma 120.00
_symmetry_space_group_name_H-M 'P -6 2 m'
_symmetry_Int_Tables_number 189
_symmetry_space_group_name_Hall 'P -6 -2'
loop_
_atom_site_label
_atom_site_fract_x
_atom_site_fract_y
_atom_site_fract_z
Hf1 0.0000 0.3969 0.0000
Hf2 0.0000 0.7602 0.5000
Co1 0.0000 0.0000 0.0000
Sb1 0.3333 0.6667 0.5000
```

First-principles (GGA-PBEsol) data for a relaxed LiYF4 crystal, as listed in Alexandria.

excess energy over the best structure of this formula in the dataset = 0.00 eV/f.u.
E = -6.5511 eV/atom
ρ = 4.0 g cm⁻³

Geometry as CIF:
```
data_LiYF4
_chemical_formula_sum 'Li4 Y4 F16'
_cell_length_a 5.1528
_cell_length_b 5.1528
_cell_length_c 10.6532
_cell_angle_alpha 90.00
_cell_angle_beta 90.00
_cell_angle_gamma 90.00
_symmetry_space_group_name_H-M 'I 41/a'
_symmetry_Int_Tables_number 88
loop_
_symmetry_equiv_pos_as_xyz
'x,y,z'
'-x,-y,-z'
'-y+3/4,x+1/4,z+1/4'
'y+3/4,-x+1/4,-z+1/4'
'-x+1/2,-y,z+1/2'
'x+1/2,y,-z+1/2'
'y+3/4,-x+3/4,z+3/4'
'-y+3/4,x+3/4,-z+3/4'
'x+1/2,y+1/2,z+1/2'
'-x+1/2,-y+1/2,-z+1/2'
'-y+1/4,x+3/4,z+3/4'
'y+1/4,-x+3/4,-z+3/4'
'-x,-y+1/2,z'
'x,y+1/2,-z'
'y+1/4,-x+1/4,z+1/4'
'-y+1/4,x+1/4,-z+1/4'
loop_
_atom_site_label
_atom_site_fract_x
_atom_site_fract_y
_atom_site_fract_z
Li1 0.0000 0.2500 0.1250
Y1 0.0000 0.2500 0.6250
F1 0.1651 0.4686 0.7938
```

First-principles (GGA-PBEsol) data for a relaxed BaPRu2 crystal, as listed in Alexandria.

E = -7.2714 eV/atom
ΔH_f (0 K) = -0.200 eV per atom
ρ = 7.2 g cm⁻³

Geometry as CIF:
```
data_BaPRu2
_chemical_formula_sum 'Ba3 P3 Ru6'
_cell_length_a 4.1689
_cell_length_b 4.1689
_cell_length_c 17.0073
_cell_angle_alpha 90.00
_cell_angle_beta 90.00
_cell_angle_gamma 120.00
_symmetry_space_group_name_H-M 'R 3 m'
_symmetry_Int_Tables_number 160
_symmetry_space_group_name_Hall 'R 3 -2"'
loop_
_atom_site_label
_atom_site_fract_x
_atom_site_fract_y
_atom_site_fract_z
Ba1 0.0000 0.0000 0.0000
P1 0.0000 0.0000 0.1987
Ru1 0.0000 0.0000 0.5014
Ru2 0.0000 0.0000 0.8117
```

First-principles (GGA-PBEsol) data for a relaxed Mg3FeGe crystal, as listed in Alexandria.

E = -3.0696 eV/atom
ΔH_f (0 K) = 0.741 eV per atom
ρ = 2.8 g cm⁻³

Geometry as CIF:
```
data_Mg3FeGe
_chemical_formula_sum 'Mg3 Fe1 Ge1'
_cell_length_a 4.9331
_cell_length_b 4.9331
_cell_length_c 4.9331
_cell_angle_alpha 90.00
_cell_angle_beta 90.00
_cell_angle_gamma 90.00
_symmetry_space_group_name_H-M 'P m -3 m'
_symmetry_Int_Tables_number 221
_symmetry_space_group_name_Hall '-P 4 2 3'
loop_
_atom_site_label
_atom_site_fract_x
_atom_site_fract_y
_atom_site_fract_z
Mg1 0.0000 0.0000 0.5000
Fe1 0.5000 0.5000 0.5000
Ge1 0.0000 0.0000 0.0000
```

First-principles (GGA-PBEsol) data for a relaxed Sc2SnS crystal, as listed in Alexandria.

E = -6.2341 eV/atom
ρ = 5.0 g cm⁻³

Geometry as CIF:
```
data_Sc2SnS
_chemical_formula_sum 'Sc8 Sn4 S4'
_cell_length_a 6.8447
_cell_length_b 6.8447
_cell_length_c 6.8447
_cell_angle_alpha 90.00
_cell_angle_beta 90.00
_cell_angle_gamma 90.00
_symmetry_space_group_name_H-M 'F m -3 m'
_symmetry_Int_Tables_number 225
_symmetry_space_group_name_Hall '-F 4 2 3'
loop_
_atom_site_label
_atom_site_fract_x
_atom_site_fract_y
_atom_site_fract_z
Sc1 0.2500 0.2500 0.2500
Sn1 0.0000 0.0000 0.0000
S1 0.0000 0.0000 0.5000
```

First-principles (GGA-PBEsol) data for a relaxed TaZn2Mo crystal, as listed in Alexandria.

excess energy over the best structure of this formula in the dataset = 0.00 eV/f.u.
E = -6.7937 eV/atom
ΔH_f (0 K) = 0.077 eV per atom
ρ = 11.3 g cm⁻³

Geometry as CIF:
```
data_TaZn2Mo
_chemical_formula_sum 'Ta2 Zn4 Mo2'
_cell_length_a 3.7975
_cell_length_b 3.8160
_cell_length_c 8.2500
_cell_angle_alpha 90.00
_cell_angle_beta 90.00
_cell_angle_gamma 90.00
_symmetry_space_group_name_H-M 'C m m m'
_symmetry_Int_Tables_number 65
_symmetry_space_group_name_Hall '-C 2 2'
loop_
_atom_site_label
_atom_site_fract_x
_atom_site_fract_y
_atom_site_fract_z
Ta1 0.0000 0.0000 0.0000
Zn1 0.0000 0.5000 0.2553
Mo1 0.0000 0.0000 0.5000
```

First-principles (GGA-PBEsol) data for a relaxed Si5W crystal, as listed in Alexandria.

E = -6.9665 eV/atom
ρ = 6.6 g cm⁻³

Geometry as CIF:
```
data_Si5W
_chemical_formula_sum 'Si5 W1'
_cell_length_a 4.5830
_cell_length_b 4.5830
_cell_length_c 4.5113
_cell_angle_alpha 90.00
_cell_angle_beta 90.00
_cell_angle_gamma 120.00
_symmetry_space_group_name_H-M 'P -6 2 m'
_symmetry_Int_Tables_number 189
_symmetry_space_group_name_Hall 'P -6 -2'
loop_
_atom_site_label
_atom_site_fract_x
_atom_site_fract_y
_atom_site_fract_z
Si1 0.0000 0.6769 0.0000
Si2 0.3333 0.6667 0.5000
W1 0.0000 0.0000 0.5000
```

First-principles (GGA-PBEsol) data for a relaxed Zr2CdPd2 crystal, as listed in Alexandria.

E = -6.4206 eV/atom
ΔH_f (0 K) = -0.162 eV per atom
ρ = 8.4 g cm⁻³

Geometry as CIF:
```
data_Zr2CdPd2
_chemical_formula_sum 'Zr4 Cd2 Pd4'
_cell_length_a 3.6696
_cell_length_b 3.6696
_cell_length_c 14.8666
_cell_angle_alpha 90.00
_cell_angle_beta 90.00
_cell_angle_gamma 90.00
_symmetry_space_group_name_H-M 'I 4/m m m'
_symmetry_Int_Tables_number 139
_symmetry_space_group_name_Hall '-I 4 2'
loop_
_atom_site_label
_atom_site_fract_x
_atom_site_fract_y
_atom_site_fract_z
Zr1 0.0000 0.0000 0.1132
Cd1 0.0000 0.0000 0.5000
Pd1 0.0000 0.5000 0.2500
```

First-principles (GGA-PBEsol) data for a relaxed RbBi2P2 crystal, as listed in Alexandria.

E = -4.2929 eV/atom
ΔH_f (0 K) = -0.057 eV per atom
ρ = 6.2 g cm⁻³

Geometry as CIF:
```
data_RbBi2P2
_chemical_formula_sum 'Rb2 Bi4 P4'
_cell_length_a 5.2421
_cell_length_b 5.2421
_cell_length_c 10.9340
_cell_angle_alpha 90.00
_cell_angle_beta 90.00
_cell_angle_gamma 90.00
_symmetry_space_group_name_H-M 'I 4/m m m'
_symmetry_Int_Tables_number 139
_symmetry_space_group_name_Hall '-I 4 2'
loop_
_atom_site_label
_atom_site_fract_x
_atom_site_fract_y
_atom_site_fract_z
Rb1 0.0000 0.0000 0.0000
Bi1 0.0000 0.0000 0.3412
P1 0.0000 0.5000 0.2500
```

First-principles (GGA-PBEsol) data for a relaxed CaYIr crystal, as listed in Alexandria.

excess energy over the best structure of this formula in the dataset = 0.48 eV/f.u.
E = -6.5450 eV/atom
ΔH_f (0 K) = -0.285 eV per atom
ρ = 6.1 g cm⁻³

Geometry as CIF:
```
data_CaYIr
_chemical_formula_sum 'Ca1 Y1 Ir1'
_cell_length_a 4.0095
_cell_length_b 4.0095
_cell_length_c 6.2751
_cell_angle_alpha 90.00
_cell_angle_beta 90.00
_cell_angle_gamma 120.00
_symmetry_space_group_name_H-M 'P 3 m 1'
_symmetry_Int_Tables_number 156
_symmetry_space_group_name_Hall 'P 3 -2"'
loop_
_atom_site_label
_atom_site_fract_x
_atom_site_fract_y
_atom_site_fract_z
Ca1 0.0000 0.0000 0.0000
Y1 0.6667 0.3333 0.5271
Ir1 0.3333 0.6667 0.7436
```

First-principles (GGA-PBEsol) data for a relaxed LaTeCl crystal, as listed in Alexandria.

excess energy over the best structure of this formula in the dataset = 2.28 eV/f.u.
E = -4.8605 eV/atom
ρ = 5.0 g cm⁻³

Geometry as CIF:
```
data_LaTeCl
_chemical_formula_sum 'La4 Te4 Cl4'
_cell_length_a 7.3736
_cell_length_b 7.3736
_cell_length_c 7.3736
_cell_angle_alpha 90.00
_cell_angle_beta 90.00
_cell_angle_gamma 90.00
_symmetry_space_group_name_H-M 'F -4 3 m'
_symmetry_Int_Tables_number 216
_symmetry_space_group_name_Hall 'F -4 2 3'
loop_
_atom_site_label
_atom_site_fract_x
_atom_site_fract_y
_atom_site_fract_z
La1 0.0000 0.0000 0.0000
Te1 0.2500 0.2500 0.7500
Cl1 0.0000 0.0000 0.5000
```

First-principles (GGA-PBEsol) data for a relaxed LiY2SbS crystal, as listed in Alexandria.

E = -5.1268 eV/atom
ρ = 3.8 g cm⁻³

Geometry as CIF:
```
data_LiY2SbS
_chemical_formula_sum 'Li1 Y2 Sb1 S1'
_cell_length_a 5.6478
_cell_length_b 5.6478
_cell_length_c 4.5909
_cell_angle_alpha 90.00
_cell_angle_beta 90.00
_cell_angle_gamma 90.00
_symmetry_space_group_name_H-M 'P 4/m m m'
_symmetry_Int_Tables_number 123
_symmetry_space_group_name_Hall '-P 4 2'
loop_
_atom_site_label
_atom_site_fract_x
_atom_site_fract_y
_atom_site_fract_z
Li1 0.0000 0.0000 0.0000
Y1 0.0000 0.5000 0.5000
Sb1 0.0000 0.0000 0.5000
S1 0.5000 0.5000 0.0000
```

First-principles (GGA-PBEsol) data for a relaxed Li3FeP2O8 crystal, as listed in Alexandria.

excess energy over the best structure of this formula in the dataset = 0.02 eV/f.u.
E = -7.0238 eV/atom
ρ = 3.3 g cm⁻³

Geometry as CIF:
```
data_Li3FeP2O8
_chemical_formula_sum 'Li6 Fe2 P4 O16'
_cell_length_a 8.1159
_cell_length_b 5.3798
_cell_length_c 6.1642
_cell_angle_alpha 90.00
_cell_angle_beta 90.54
_cell_angle_gamma 90.00
_symmetry_space_group_name_H-M 'C 1 2/m 1'
_symmetry_Int_Tables_number 12
_symmetry_space_group_name_Hall '-C 2y'
loop_
_atom_site_label
_atom_site_fract_x
_atom_site_fract_y
_atom_site_fract_z
Li1 0.0000 0.0000 0.0000
Li2 0.1742 0.5000 0.2302
Fe1 0.0000 0.0000 0.5000
P1 0.1494 0.5000 0.7393
O1 0.0312 0.2687 0.7323
O2 0.2415 0.0000 0.4661
O3 0.2451 0.0000 0.0580
```

First-principles (GGA-PBEsol) data for a relaxed GePd3Br crystal, as listed in Alexandria.

E = -4.2794 eV/atom
ρ = 7.6 g cm⁻³

Geometry as CIF:
```
data_GePd3Br
_chemical_formula_sum 'Ge1 Pd3 Br1'
_cell_length_a 4.6859
_cell_length_b 4.6859
_cell_length_c 4.6859
_cell_angle_alpha 90.00
_cell_angle_beta 90.00
_cell_angle_gamma 90.00
_symmetry_space_group_name_H-M 'P m -3 m'
_symmetry_Int_Tables_number 221
_symmetry_space_group_name_Hall '-P 4 2 3'
loop_
_atom_site_label
_atom_site_fract_x
_atom_site_fract_y
_atom_site_fract_z
Ge1 0.0000 0.0000 0.0000
Pd1 0.0000 0.5000 0.5000
Br1 0.5000 0.5000 0.5000
```

First-principles (GGA-PBEsol) data for a relaxed Mg3SbN crystal, as listed in Alexandria.

E = -4.3356 eV/atom
ρ = 4.2 g cm⁻³

Geometry as CIF:
```
data_Mg3SbN
_chemical_formula_sum 'Mg3 Sb1 N1'
_cell_length_a 4.3443
_cell_length_b 4.3443
_cell_length_c 4.3443
_cell_angle_alpha 90.00
_cell_angle_beta 90.00
_cell_angle_gamma 90.00
_symmetry_space_group_name_H-M 'P m -3 m'
_symmetry_Int_Tables_number 221
_symmetry_space_group_name_Hall '-P 4 2 3'
loop_
_atom_site_label
_atom_site_fract_x
_atom_site_fract_y
_atom_site_fract_z
Mg1 0.0000 0.0000 0.5000
Sb1 0.5000 0.5000 0.5000
N1 0.0000 0.0000 0.0000
```

First-principles (GGA-PBEsol) data for a relaxed CaAgW2 crystal, as listed in Alexandria.

excess energy over the best structure of this formula in the dataset = 0.84 eV/f.u.
E = -7.5405 eV/atom
ΔH_f (0 K) = 0.724 eV per atom
ρ = 11.9 g cm⁻³

Geometry as CIF:
```
data_CaAgW2
_chemical_formula_sum 'Ca1 Ag1 W2'
_cell_length_a 3.0368
_cell_length_b 4.5652
_cell_length_c 5.1826
_cell_angle_alpha 90.00
_cell_angle_beta 90.00
_cell_angle_gamma 90.00
_symmetry_space_group_name_H-M 'P m m m'
_symmetry_Int_Tables_number 47
_symmetry_space_group_name_Hall '-P 2 2'
loop_
_atom_site_label
_atom_site_fract_x
_atom_site_fract_y
_atom_site_fract_z
Ca1 0.0000 0.0000 0.0000
Ag1 0.5000 0.5000 0.0000
W1 0.0000 0.5000 0.5000
W2 0.5000 0.0000 0.5000
```

First-principles (GGA-PBEsol) data for a relaxed K2NiRh crystal, as listed in Alexandria.

E = -3.1452 eV/atom
ΔH_f (0 K) = 0.995 eV per atom
ρ = 5.0 g cm⁻³

Geometry as CIF:
```
data_K2NiRh
_chemical_formula_sum 'K4 Ni2 Rh2'
_cell_length_a 3.9501
_cell_length_b 3.9777
_cell_length_c 10.1629
_cell_angle_alpha 90.00
_cell_angle_beta 90.00
_cell_angle_gamma 90.00
_symmetry_space_group_name_H-M 'C m m m'
_symmetry_Int_Tables_number 65
_symmetry_space_group_name_Hall '-C 2 2'
loop_
_atom_site_label
_atom_site_fract_x
_atom_site_fract_y
_atom_site_fract_z
K1 0.0000 0.0000 0.2467
Ni1 0.0000 0.5000 0.0000
Rh1 0.0000 0.5000 0.5000
```